Version i
Entry from Alexandria via LeMat-Bulk: crystalline ZnCdAs2Se at its relaxed geometry (PBE).

Summary:
Calculated density, g cm⁻³: 4.76
Fermi-level density of states, states/eV per cell: 6.6
Total magnetic moment, μB/f.u.: 1.2
Crystal system: tetragonal

abc: 5.1851 5.1851 5.2755
angles: 90.00 90.00 90.00
Each line ends with the local moment (μB).
Fractional coordinates of all 5 atoms:
1 As 0.5000 0.0000 0.0000  0.23
2 Cd 0.0000 0.0000 0.0000  0.02
3 As 0.0000 0.5000 0.0000  0.23
4 Zn 0.5000 0.5000 0.5000  0.03
5 Se 0.0000 0.0000 0.5000  0.13

Version ii
Entry from Alexandria via LeMat-Bulk: crystalline ZnCdAs2Se at its relaxed geometry (PBE).

Summary:
Calculated density, g cm⁻³: 5.67
Fermi-level density of states, states/eV per cell: 5.0
Total magnetic moment, μB/f.u.: 0.0
Crystal system: tetragonal

abc: 4.8239 4.8239 5.1208
angles: 90.00 90.00 90.00
Fractional coordinates of all 5 atoms:
1 Zn 0.0000 0.0000 0.0000
2 Cd 0.5000 0.5000 0.5000
3 Se 0.0000 0.0000 0.5000
4 As 0.5000 0.0000 0.0000
5 As 0.0000 0.5000 0.0000

Energy above the most stable structure, in meV per atom: version i 379; version ii 0

Version i
Entry from Alexandria via LeMat-Bulk: crystalline ZrCdAs2Se at its relaxed geometry (PBE).

Summary:
Calculated density, g cm⁻³: 5.03
Fermi-level density of states, states/eV per cell: 6.0
Total magnetic moment, μB/f.u.: 0.0
Crystal system: tetragonal

abc: 5.2560 5.2560 5.1634
angles: 90.00 90.00 90.00
Fractional coordinates of all 5 atoms:
1 As 0.5000 0.0000 0.0000
2 Cd 0.5000 0.5000 0.5000
3 Zr 0.0000 0.0000 0.0000
4 As 0.0000 0.5000 0.0000
5 Se 0.0000 0.0000 0.5000

Version ii
Entry from Alexandria via LeMat-Bulk: crystalline ZrCdAs2Se at its relaxed geometry (PBE).

Summary:
Calculated density, g cm⁻³: 5.60
Fermi-level density of states, states/eV per cell: 4.1
Total magnetic moment, μB/f.u.: 0.0
Crystal system: tetragonal

abc: 5.0091 5.0091 5.1109
angles: 90.00 90.00 90.00
Fractional coordinates of all 5 atoms:
1 Zr 0.5000 0.5000 0.5000
2 Se 0.0000 0.0000 0.5000
3 As 0.0000 0.5000 0.0000
4 As 0.5000 0.0000 0.0000
5 Cd 0.0000 0.0000 0.0000

Energy above the most stable structure, in meV per atom: version i 0; version ii 685

Version i
Entry from Alexandria via LeMat-Bulk: crystalline CdSiAs at its relaxed geometry (PBE).

Summary:
Calculated density, g cm⁻³: 5.31
Fermi-level density of states, states/eV per cell: 2.6
Total magnetic moment, μB/f.u.: 0.0
Crystal system: cubic

abc: 4.5686 4.5686 4.5686
angles: 60.00 60.00 60.00
Fractional coordinates of all 3 atoms:
1 Si 0.2500 0.2500 0.2500
2 Cd 0.5000 0.5000 0.5000
3 As 0.0000 0.0000 0.0000

Version ii
Entry from Alexandria via LeMat-Bulk: crystalline CdSiAs at its relaxed geometry (PBE).

Summary:
Calculated density, g cm⁻³: 5.16
Fermi-level density of states, states/eV per cell: 2.1
Total magnetic moment, μB/f.u.: 0.0
Crystal system: cubic

abc: 4.6098 4.6098 4.6098
angles: 60.00 60.00 60.00
Fractional coordinates of all 3 atoms:
1 Si 0.0000 0.0000 0.0000
2 Cd 0.2500 0.2500 0.2500
3 As 0.5000 0.5000 0.5000

Energy above the most stable structure, in meV per atom: version i 0; version ii 121

Version i
Entry from Alexandria via LeMat-Bulk: crystalline CdSiAs at its relaxed geometry (PBE).

Summary:
Calculated density, g cm⁻³: 5.71
Fermi-level density of states, states/eV per cell: 0.9
Total magnetic moment, μB/f.u.: 0.0
Crystal system: tetragonal

abc: 5.5942 5.5942 5.5942
angles: 143.11 143.11 53.16
Fractional coordinates of all 3 atoms:
1 Si 0.6199 0.6199 0.0000
2 Cd 0.3333 0.3333 0.0000
3 As 0.0468 0.0468 0.0000

Version ii
Entry from Alexandria via LeMat-Bulk: crystalline CdSiAs at its relaxed geometry (PBE).

Summary:
Calculated density, g cm⁻³: 6.09
Fermi-level density of states, states/eV per cell: 1.9
Total magnetic moment, μB/f.u.: 0.0
Crystal system: hexagonal

abc: 4.8316 4.8316 2.9062
angles: 90.00 90.00 120.00
Fractional coordinates of all 3 atoms:
1 Si 0.3333 0.6667 0.8340
2 Cd 0.6667 0.3333 0.3323
3 As 0.0000 0.0000 0.8337

Version iii
Entry from Alexandria via LeMat-Bulk: crystalline CdSiAs at its relaxed geometry (PBE).

Summary:
Calculated density, g cm⁻³: 5.27
Fermi-level density of states, states/eV per cell: 2.6
Total magnetic moment, μB/f.u.: 0.0
Crystal system: trigonal

abc: 5.6772 5.6772 7.3011
angles: 90.00 90.00 120.00
Fractional coordinates of all 9 atoms:
1 Cd 0.3804 0.2746 0.0269
2 Si 0.1886 0.6852 0.6651
3 Cd 0.7254 0.1058 0.6936
4 Cd 0.8942 0.6196 0.3602
5 Si 0.4967 0.8114 0.9984
6 As 0.2783 0.3082 0.6414
7 As 0.6918 0.9701 0.3080
8 Si 0.3148 0.5033 0.3317
9 As 0.0299 0.7217 0.9747

Energy above the most stable structure, in meV per atom: version i 41; version ii 122; version iii 0

Version i
Entry from Alexandria via LeMat-Bulk: crystalline Cd2SiAs2 at its relaxed geometry (PBE).

Summary:
Calculated density, g cm⁻³: 6.11
Fermi-level density of states, states/eV per cell: 5.3
Total magnetic moment, μB/f.u.: 0.0
Crystal system: tetragonal

abc: 7.3674 7.3674 4.0309
angles: 90.00 90.00 90.00
Fractional coordinates of all 10 atoms:
1 Cd 0.1364 0.6364 0.5000
2 As 0.3145 0.8145 0.0000
3 Cd 0.8636 0.3636 0.5000
4 As 0.6855 0.1855 0.0000
5 As 0.1855 0.3145 0.0000
6 Cd 0.3636 0.1364 0.5000
7 Si 0.5000 0.5000 0.0000
8 Cd 0.6364 0.8636 0.5000
9 As 0.8145 0.6855 0.0000
10 Si 0.0000 0.0000 0.0000

Version ii
Entry from Alexandria via LeMat-Bulk: crystalline Cd2SiAs2 at its relaxed geometry (PBE).

Summary:
Calculated density, g cm⁻³: 5.92
Fermi-level density of states, states/eV per cell: 2.5
Total magnetic moment, μB/f.u.: 0.0
Crystal system: tetragonal

abc: 4.0731 4.0731 7.3885
angles: 74.00 74.00 90.00
Fractional coordinates of all 5 atoms:
1 As 0.5961 0.5961 0.8078
2 Cd 0.2500 0.7500 0.5000
3 Cd 0.7500 0.2500 0.5000
4 Si 0.0000 0.0000 0.0000
5 As 0.4039 0.4039 0.1922

Energy above the most stable structure, in meV per atom: version i 0; version ii 147

Version i
Entry from Alexandria via LeMat-Bulk: crystalline Cd2SnAs at its relaxed geometry (PBE).

Summary:
Calculated density, g cm⁻³: 7.10
Fermi-level density of states, states/eV per cell: 4.3
Total magnetic moment, μB/f.u.: 0.0
Crystal system: tetragonal

abc: 8.0445 8.0445 6.4425
angles: 51.37 51.37 90.00
Fractional coordinates of all 8 atoms:
1 Cd 0.1561 0.6250 0.2500
2 As 0.2500 0.7500 0.5000
3 Sn 0.7500 0.2500 0.5000
4 Cd 0.5939 0.1250 0.2500
5 As 0.5000 0.5000 0.0000
6 Sn 0.0000 0.0000 0.0000
7 Cd 0.8750 0.8439 0.7500
8 Cd 0.3750 0.4061 0.7500

Version ii
Entry from Alexandria via LeMat-Bulk: crystalline Cd2SnAs at its relaxed geometry (PBE).

Summary:
Calculated density, g cm⁻³: 7.33
Fermi-level density of states, states/eV per cell: 2.2
Total magnetic moment, μB/f.u.: 0.0
Crystal system: cubic

abc: 5.1179 5.1179 5.1179
angles: 60.00 60.00 60.00
Fractional coordinates of all 4 atoms:
1 Sn 0.5000 0.5000 0.5000
2 Cd 0.7500 0.7500 0.7500
3 As 0.0000 0.0000 0.0000
4 Cd 0.2500 0.2500 0.2500

Version iii
Entry from Alexandria via LeMat-Bulk: crystalline Cd2SnAs at its relaxed geometry (PBE).

Summary:
Calculated density, g cm⁻³: 6.20
Fermi-level density of states, states/eV per cell: 1.9
Total magnetic moment, μB/f.u.: 0.0
Crystal system: trigonal

abc: 3.7971 3.7971 9.2364
angles: 78.14 78.14 60.00
Fractional coordinates of all 4 atoms:
1 As 0.5000 0.5000 0.5000
2 Cd 0.1043 0.1043 0.6870
3 Sn 0.0000 0.0000 0.0000
4 Cd 0.8957 0.8957 0.3130

Energy above the most stable structure, in meV per atom: version i 0; version ii 123; version iii 90

Version i
Entry from Alexandria via LeMat-Bulk: crystalline CdSn2As2 at its relaxed geometry (PBE).

Summary:
Calculated density, g cm⁻³: 6.55
Fermi-level density of states, states/eV per cell: 1.1
Total magnetic moment, μB/f.u.: 0.0
Crystal system: monoclinic

abc: 4.0883 4.0898 9.0429
angles: 102.73 90.00 119.99
Fractional coordinates of all 5 atoms:
1 As 0.4008 0.8016 0.2005
2 Sn 0.7877 0.5753 0.3690
3 As 0.5992 0.1984 0.7995
4 Cd 0.0000 0.0000 0.0000
5 Sn 0.2123 0.4247 0.6310

Version ii
Entry from Alexandria via LeMat-Bulk: crystalline CdSn2As2 at its relaxed geometry (PBE).

Summary:
Calculated density, g cm⁻³: 6.33
Fermi-level density of states, states/eV per cell: 1.5
Total magnetic moment, μB/f.u.: 0.0
Crystal system: tetragonal

abc: 5.5327 5.5327 5.8021
angles: 61.52 61.52 90.00
Fractional coordinates of all 5 atoms:
1 Cd 0.0000 0.0000 0.0000
2 As 0.3505 0.3505 0.2990
3 Sn 0.2500 0.7500 0.5000
4 Sn 0.7500 0.2500 0.5000
5 As 0.6495 0.6495 0.7010

Energy above the most stable structure, in meV per atom: version i 0; version ii 166

Version i
Entry from Alexandria via LeMat-Bulk: crystalline Cd3SnAs at its relaxed geometry (PBE).

Summary:
Calculated density, g cm⁻³: 5.33
Fermi-level density of states, states/eV per cell: 4.0
Total magnetic moment, μB/f.u.: 1.5
Crystal system: cubic

abc: 5.4878 5.4878 5.4878
angles: 90.00 90.00 90.00
Each line ends with the local moment (μB).
Fractional coordinates of all 5 atoms:
1 Sn 0.0000 0.0000 0.0000  0.06
2 Cd 0.0000 0.5000 0.0000  0.01
3 Cd 0.0000 0.0000 0.5000  -0.01
4 As 0.5000 0.5000 0.5000  0.59
5 Cd 0.5000 0.0000 0.0000  0.02

Version ii
Entry from Alexandria via LeMat-Bulk: crystalline Cd3SnAs at its relaxed geometry (PBE).

Summary:
Calculated density, g cm⁻³: 5.98
Fermi-level density of states, states/eV per cell: 4.8
Total magnetic moment, μB/f.u.: 0.0
Crystal system: cubic

abc: 5.2834 5.2834 5.2834
angles: 90.00 90.00 90.00
Fractional coordinates of all 5 atoms:
1 Cd 0.0000 0.5000 0.0000
2 Sn 0.5000 0.5000 0.5000
3 As 0.0000 0.0000 0.0000
4 Cd 0.0000 0.0000 0.5000
5 Cd 0.5000 0.0000 0.0000

Energy above the most stable structure, in meV per atom: version i 256; version ii 0

Version i
Entry from Alexandria via LeMat-Bulk: crystalline SrCd2As2 at its relaxed geometry (PBE).

Summary:
Calculated density, g cm⁻³: 5.81
Fermi-level density of states, states/eV per cell: 0.1
Total magnetic moment, μB/f.u.: 0.0
Crystal system: trigonal

abc: 4.5179 4.5179 7.4801
angles: 90.00 90.00 120.00
Fractional coordinates of all 5 atoms:
1 As 0.6667 0.3333 0.7510
2 Sr 0.0000 0.0000 0.0000
3 Cd 0.3333 0.6667 0.6325
4 As 0.3333 0.6667 0.2490
5 Cd 0.6667 0.3333 0.3675

Version ii
Entry from Alexandria via LeMat-Bulk: crystalline SrCd2As2 at its relaxed geometry (PBE).

Summary:
Calculated density, g cm⁻³: 6.14
Fermi-level density of states, states/eV per cell: 6.4
Total magnetic moment, μB/f.u.: 0.0
Crystal system: tetragonal

abc: 8.1396 8.1396 3.7772
angles: 90.00 90.00 90.00
Fractional coordinates of all 10 atoms:
1 Cd 0.8645 0.3645 0.5000
2 As 0.6589 0.1589 0.0000
3 Sr 0.0000 0.0000 0.0000
4 Cd 0.1355 0.6355 0.5000
5 Cd 0.6355 0.8645 0.5000
6 As 0.1589 0.3411 0.0000
7 As 0.3411 0.8411 0.0000
8 As 0.8411 0.6589 0.0000
9 Sr 0.5000 0.5000 0.0000
10 Cd 0.3645 0.1355 0.5000

Version iii
Entry from Alexandria via LeMat-Bulk: crystalline SrCd2As2 at its relaxed geometry (PBE).

Summary:
Calculated density, g cm⁻³: 6.27
Fermi-level density of states, states/eV per cell: 2.7
Total magnetic moment, μB/f.u.: 0.0
Crystal system: tetragonal

abc: 8.2727 8.2727 3.5760
angles: 90.00 90.00 90.00
Fractional coordinates of all 10 atoms:
1 Sr 0.0000 0.0000 0.0000
2 Cd 0.3811 0.8811 0.0000
3 As 0.1896 0.6896 0.5000
4 As 0.6896 0.8104 0.5000
5 Sr 0.5000 0.5000 0.0000
6 Cd 0.6189 0.1189 0.0000
7 Cd 0.8811 0.6189 0.0000
8 As 0.3104 0.1896 0.5000
9 Cd 0.1189 0.3811 0.0000
10 As 0.8104 0.3104 0.5000

Version iv
Entry from Alexandria via LeMat-Bulk: crystalline SrCd2As2 at its relaxed geometry (PBE).

Summary:
Calculated density, g cm⁻³: 5.99
Fermi-level density of states, states/eV per cell: 0.0
Total magnetic moment, μB/f.u.: 0.0
Crystal system: tetragonal

abc: 4.3203 4.3203 7.5101
angles: 73.28 73.28 90.00
Fractional coordinates of all 5 atoms:
1 Cd 0.2500 0.7500 0.5000
2 Sr 0.0000 0.0000 0.0000
3 Cd 0.7500 0.2500 0.5000
4 As 0.3833 0.3833 0.2335
5 As 0.6167 0.6167 0.7665

Energy above the most stable structure, in meV per atom: version i 0; version ii 393; version iii 373; version iv 125

Version i
Entry from Alexandria via LeMat-Bulk: crystalline Cd3TcAs at its relaxed geometry (PBE).

Summary:
Calculated density, g cm⁻³: 5.93
Fermi-level density of states, states/eV per cell: 2.7
Total magnetic moment, μB/f.u.: 2.4
Crystal system: cubic

abc: 5.2280 5.2280 5.2280
angles: 90.00 90.00 90.00
Each line ends with the local moment (μB).
Fractional coordinates of all 5 atoms:
1 Tc 0.0000 0.0000 0.0000  1.92
2 Cd 0.0000 0.0000 0.5000  0.02
3 As 0.5000 0.5000 0.5000  0.12
4 Cd 0.5000 0.0000 0.0000  -0.02
5 Cd 0.0000 0.5000 0.0000  0.00

Version ii
Entry from Alexandria via LeMat-Bulk: crystalline Cd3TcAs at its relaxed geometry (PBE).

Summary:
Calculated density, g cm⁻³: 6.06
Fermi-level density of states, states/eV per cell: 4.6
Total magnetic moment, μB/f.u.: 4.0
Crystal system: cubic

abc: 5.1896 5.1896 5.1896
angles: 90.00 90.00 90.00
Each line ends with the local moment (μB).
Fractional coordinates of all 5 atoms:
1 Cd 0.0000 0.5000 0.0000  -0.03
2 Cd 0.0000 0.0000 0.5000  0.01
3 Tc 0.5000 0.5000 0.5000  3.45
4 As 0.0000 0.0000 0.0000  0.05
5 Cd 0.5000 0.0000 0.0000  -0.01

Energy above the most stable structure, in meV per atom: version i 0; version ii 69

Version i
Entry from Alexandria via LeMat-Bulk: crystalline CdTc2As at its relaxed geometry (PBE).

Summary:
Calculated density, g cm⁻³: 9.61
Fermi-level density of states, states/eV per cell: 5.0
Total magnetic moment, μB/f.u.: 0.0
Crystal system: orthorhombic

abc: 3.0784 4.7716 4.5074
angles: 90.00 90.00 90.00
Fractional coordinates of all 4 atoms:
1 Tc 0.0000 0.0000 0.0000
2 As 0.5000 0.0000 0.5000
3 Tc 0.5000 0.5000 0.0000
4 Cd 0.0000 0.5000 0.5000

Version ii
Entry from Alexandria via LeMat-Bulk: crystalline CdTc2As at its relaxed geometry (PBE).

Summary:
Calculated density, g cm⁻³: 9.38
Fermi-level density of states, states/eV per cell: 3.1
Total magnetic moment, μB/f.u.: 0.0
Crystal system: monoclinic

abc: 4.4146 2.9580 5.4012
angles: 74.19 90.00 90.00
Fractional coordinates of all 4 atoms:
1 As 0.0000 0.3334 0.4589
2 Tc 0.0000 0.0312 0.0611
3 Cd 0.5000 0.6964 0.7328
4 Tc 0.5000 0.4390 0.2471

Energy above the most stable structure, in meV per atom: version i 307; version ii 0

Version i
Entry from Alexandria via LeMat-Bulk: crystalline CdTc2As at its relaxed geometry (PBE).

Summary:
Calculated density, g cm⁻³: 9.67
Fermi-level density of states, states/eV per cell: 4.9
Total magnetic moment, μB/f.u.: 0.0
Crystal system: monoclinic

abc: 5.1811 5.2291 2.9127
angles: 76.55 84.69 118.01
Fractional coordinates of all 4 atoms:
1 Cd 0.5000 0.5000 0.0000
2 As 0.0000 0.5000 0.5000
3 Tc 0.0000 0.0000 0.0000
4 Tc 0.5000 0.0000 0.5000

Version ii
Entry from Alexandria via LeMat-Bulk: crystalline CdTc2As at its relaxed geometry (PBE).

Summary:
Calculated density, g cm⁻³: 9.61
Fermi-level density of states, states/eV per cell: 4.1
Total magnetic moment, μB/f.u.: 0.0
Crystal system: cubic

abc: 4.5419 4.5419 4.5419
angles: 60.00 60.00 60.00
Fractional coordinates of all 4 atoms:
1 As 0.5000 0.5000 0.5000
2 Tc 0.0000 0.0000 0.0000
3 Cd 0.7500 0.7500 0.7500
4 Tc 0.2500 0.2500 0.2500

Energy above the most stable structure, in meV per atom: version i 35; version ii 0